Record 1
Below is an optimized crystal structure of Li2GaS, with properties calculated at the PBE level.

Cell and atoms, written as POSCAR:
```
Li2GaS
1.0
-2.135 3.608 1.143
-1.908 -2.160 3.252
3.978 2.735 7.054
S Ga Li
2 2 4
Direct
0.500 0.500 0.000
0.250 0.750 0.500
0.000 0.000 0.000
0.750 0.250 0.500
0.560 0.125 0.250
0.190 0.625 0.250
0.375 0.440 0.750
0.875 0.810 0.750
```

Properties
Space group: I-42d
ΔE to the lowest computed polymorph (meV/atom): 0
Magnetic moment (μB/atom): 0.000
E_form (uncorrected) (eV per atom): -0.455


Record 2
Below is an optimized crystal structure of LiGa3S, with properties calculated at the PBE level.

Cell and atoms, written as POSCAR:
```
LiGa3S
1.0
-1.202 4.856 -0.595
-4.878 -1.144 0.522
0.368 0.701 4.975
S Ga Li
1 3 1
Direct
0.000 0.000 0.000
0.000 0.500 0.000
0.000 0.000 0.500
0.500 0.000 0.000
0.500 0.500 0.500
```

Properties
Space group: Pm-3m
ΔE to the lowest computed polymorph (meV/atom): 41
Magnetic moment (μB/atom): 0.000
E_form (uncorrected) (eV per atom): 0.268


Record 3
Below is an optimized crystal structure of LiGa3S, with properties calculated at the PBE level.

Cell and atoms, written as POSCAR:
```
LiGa3S
1.0
-2.069 0.341 4.154
-3.354 -2.890 -1.433
2.475 -3.631 1.531
S Ga Li
1 3 1
Direct
0.500 0.500 0.500
0.000 0.500 0.000
0.000 0.000 0.500
0.500 0.000 0.000
0.000 0.000 0.000
```

Properties
Space group: Pm-3m
ΔE to the lowest computed polymorph (meV/atom): 0
Magnetic moment (μB/atom): 0.000
E_form (uncorrected) (eV per atom): 0.227


Record 4
Below is an optimized crystal structure of Li2GaS, with properties calculated at the PBE level.

Cell and atoms, written as POSCAR:
```
Li2GaS
1.0
0.000 3.232 3.232
3.232 0.000 3.232
3.232 3.232 0.000
S Ga Li
1 1 2
Direct
0.000 0.000 0.000
0.500 0.500 0.500
0.250 0.250 0.250
0.750 0.750 0.750
```

Properties
Space group: Fm-3m
ΔE to the lowest computed polymorph (meV/atom): 8
Magnetic moment (μB/atom): 0.000
E_form (uncorrected) (eV per atom): -0.447


Record 5
Below is an optimized crystal structure of Li3GaS, with properties calculated at the PBE level.

Cell and atoms, written as POSCAR:
```
Li3GaS
1.0
-3.121 -2.464 2.309
0.238 -3.297 -3.197
3.369 -2.050 2.365
S Ga Li
1 1 3
Direct
0.000 0.000 0.000
0.500 0.500 0.500
0.000 0.500 0.000
0.000 0.000 0.500
0.500 0.000 0.000
```

Properties
Space group: Pm-3m
ΔE to the lowest computed polymorph (meV/atom): 0
Magnetic moment (μB/atom): 0.000
E_form (uncorrected) (eV per atom): -0.541


Record 6
Below is an optimized crystal structure of LiGa2S4, with properties calculated at the PBE level.

Cell and atoms, written as POSCAR:
```
LiGa2S4
1.0
5.039 0.000 0.000
0.000 5.039 0.000
0.000 0.000 6.207
Li Ga S
1 2 4
Direct
0.000 0.000 0.000
0.500 0.000 0.500
0.000 0.500 0.500
0.742 0.258 0.732
0.258 0.258 0.268
0.258 0.742 0.732
0.742 0.742 0.268
```

Properties
Space group: P-42m
Magnetic moment (μB/atom): 0.043
E_form (uncorrected) (eV per atom): -0.686


Record 7
Below is an optimized crystal structure of Li3GaS, with properties calculated at the PBE level.

Cell and atoms, written as POSCAR:
```
Li3GaS
1.0
4.755 0.000 0.000
0.000 4.755 0.000
0.000 0.000 4.755
S Ga Li
1 1 3
Direct
0.500 0.500 0.500
0.000 0.000 0.000
0.000 0.500 0.000
0.000 0.000 0.500
0.500 0.000 0.000
```

Properties
Space group: Pm-3m
ΔE to the lowest computed polymorph (meV/atom): 715
Magnetic moment (μB/atom): 0.351
E_form (uncorrected) (eV per atom): 0.174


Record 8
Below is an optimized crystal structure of LiGa2SbS6, with properties calculated at the PBE level.

Cell and atoms, written as POSCAR:
```
LiGa2SbS6
1.0
6.420 -0.336 -0.349
1.613 8.089 0.294
1.613 -0.006 8.094
Li Ga Sb S
2 4 2 12
Direct
0.250 0.911 0.089
0.750 0.089 0.911
0.219 0.785 0.598
0.281 0.402 0.215
0.781 0.215 0.402
0.719 0.598 0.785
0.250 0.255 0.745
0.750 0.745 0.255
0.128 0.977 0.796
0.372 0.204 0.023
0.872 0.023 0.204
0.628 0.796 0.977
0.394 0.887 0.365
0.106 0.635 0.113
0.606 0.113 0.635
0.894 0.365 0.887
0.881 0.731 0.557
0.619 0.443 0.269
0.119 0.269 0.443
0.381 0.557 0.731
```

Properties
Space group: C2/c
Magnetic moment (μB/atom): 0.000
E_form (uncorrected) (eV per atom): -0.470